{"formula": "Sc3As5", "functional": "PBE", "state": "relaxed", "e_tot_ev_per_atom": -6.085, "mass_density_g_cm3": 5.0, "m_tot_mub_per_fu": 0.0, "e_form_mev_per_atom": -805, "sg": "P-1, No. 2", "lattice_angstrom": [[-8.4393, 2.0300, -2.0753], [5.6129, -5.9190, -2.4369], [-0.0021, -3.5225, 5.8493]], "species": ["As", "As", "Sc", "As", "As", "Sc", "As", "As", "Sc", "Sc", "As", "As", "Sc", "Sc", "As", "As"], "frac_coords": [[0.6050, 0.2401, 0.8283], [0.3943, 0.7599, 0.1717], [0.2873, 0.1615, 0.4905], [0.9974, 0.7965, 0.6832], [0.8704, 0.3007, 0.6972], [0.7782, 0.6479, 0.9690], [0.0018, 0.2035, 0.3168], [0.3552, 0.4916, 0.6777], [0.6873, 0.2296, 0.2512], [0.7119, 0.8385, 0.5095], [0.1288, 0.6993, 0.3028], [0.2435, 0.0269, 0.1053], [0.2210, 0.3522, 0.0310], [0.3119, 0.7704, 0.7488], [0.6440, 0.5084, 0.3223], [0.7557, 0.9731, 0.8947]]}